First-principles (PBE) data for an optimized crystal structure of Th5Co2Bi, as listed in Alexandria via LeMat-Bulk.

Geometry as POSCAR:
```
Th5Co2Bi
1.0
-3.846 3.846 7.211
3.846 -3.846 7.211
3.846 3.846 -7.211
Th Co Bi
10 4 2
direct
0.000 0.000 0.000 Th
0.017 0.517 0.800 Th
0.217 0.017 0.500 Th
0.283 0.783 0.800 Th
0.483 0.283 0.500 Th
0.500 0.500 0.000 Th
0.517 0.717 0.500 Th
0.717 0.217 0.200 Th
0.783 0.983 0.500 Th
0.983 0.483 0.200 Th
0.158 0.342 0.500 Co
0.342 0.842 0.184 Co
0.658 0.158 0.816 Co
0.842 0.658 0.500 Co
0.250 0.250 0.000 Bi
0.750 0.750 0.000 Bi
```

Summary:
**M_tot**: 0.000 μB per atom
**Space group**: No. 140
**ΔH_f (0 K)**: -6.1 kcal/mol of atoms
**Calculated volume**: 26.7 A^3/atom